1.
# PBE TbYEr2Te6, optimized geometry
# Formation energy (no corrections) ... -1.36 eV/atom
# Crystal system ... trigonal
data_TbYEr2Te6
_chemical_formula_sum 'Tb3 Y3 Er6 Te18'
_cell_length_a 7.6741
_cell_length_b 7.6741
_cell_length_c 21.0147
_cell_angle_alpha 90.00
_cell_angle_beta 90.00
_cell_angle_gamma 120.00
_space_group_name_H-M_alt 'R 3'
_space_group_IT_number 146
_space_group_name_Hall 'R 3'
loop_
_atom_site_label
_atom_site_fract_x
_atom_site_fract_y
_atom_site_fract_z
Tb1 0.0000 0.0000 0.0000
Y1 0.0000 0.0000 0.5001
Er1 0.0000 0.0000 0.1855
Er2 0.0000 0.0000 0.6856
Te1 0.0215 0.6718 0.7608
Te2 0.0225 0.3502 0.2606

2.
# PBE BeIn2Cu, optimized geometry
# Raw total energy ... -2.978 eV/atom
# Crystal system ... tetragonal
data_BeIn2Cu
_chemical_formula_sum 'Be1 In2 Cu1'
_cell_length_a 3.722
_cell_length_b 3.722
_cell_length_c 5.236
_cell_angle_alpha 90.00
_cell_angle_beta 90.00
_cell_angle_gamma 90.00
_space_group_name_H-M_alt 'P 4 m m'
_space_group_IT_number 99
loop_
_space_group_symop_operation_xyz
'x,y,z'
'-y,x,z'
'-x,-y,z'
'y,-x,z'
'-x,y,z'
'y,x,z'
'x,-y,z'
'-y,-x,z'
loop_
_atom_site_label
_atom_site_fract_x
_atom_site_fract_y
_atom_site_fract_z
Be1 0.000 0.000 0.000
In1 0.000 0.000 0.478
In2 0.500 0.500 0.792
Cu1 0.500 0.500 0.276

3.
# PBE Rb3Er3GeS8, optimized geometry
# Formation energy (no corrections) ... -1.48 eV/atom
# Crystal system ... trigonal
data_Rb3Er3GeS8
_chemical_formula_sum 'Rb9 Er9 Ge3 S24'
_cell_length_a 7.8568
_cell_length_b 7.8568
_cell_length_c 23.5657
_cell_angle_alpha 90.00
_cell_angle_beta 90.00
_cell_angle_gamma 120.00
_space_group_name_H-M_alt 'R -3 m'
_space_group_IT_number 166
_space_group_name_Hall '-R 3 2"'
loop_
_atom_site_label
_atom_site_fract_x
_atom_site_fract_y
_atom_site_fract_z
Rb1 0.0000 0.5000 0.0000
Er1 0.0000 0.5000 0.5000
Ge1 0.0000 0.0000 0.5000
S1 0.0000 0.0000 0.2297
S2 0.0270 0.5135 0.2262

4.
# PBE AlAs2Au, optimized geometry
# Raw total energy ... -4.117 eV/atom
# Crystal system ... tetragonal
data_AlAs2Au
_chemical_formula_sum 'Al1 As2 Au1'
_cell_length_a 3.853
_cell_length_b 3.853
_cell_length_c 5.275
_cell_angle_alpha 90.00
_cell_angle_beta 90.00
_cell_angle_gamma 90.00
_space_group_name_H-M_alt 'P 4/m m m'
_space_group_IT_number 123
_space_group_name_Hall '-P 4 2'
loop_
_atom_site_label
_atom_site_fract_x
_atom_site_fract_y
_atom_site_fract_z
Al1 0.000 0.000 0.000
As1 0.000 0.000 0.500
As2 0.500 0.500 0.500
Au1 0.500 0.500 0.000

| no. | total magnetic moment (μB per atom) |
| --- | --- |
| 1 | 0.00 |
| 2 | 0.00 |
| 3 | 0.00 |
| 4 | 0.00 |